# Ag2Cl13

A relaxed Ag2Cl13 crystal (PBE, Alexandria via LeMat-Bulk).

Cell: 7.859 10.333 8.038 Å, 129.80 86.17 89.59°
Fractional coordinates of all 15 atoms:
Cl: 0.786 0.592 0.359
Cl: 0.827 0.112 0.447
Cl: 0.000 0.000 0.000
Cl: 0.214 0.408 0.641
Cl: 0.288 0.861 0.300
Cl: 0.189 0.370 0.198
Cl: 0.789 0.618 0.128
Cl: 0.590 0.177 0.090
Cl: 0.410 0.823 0.910
Cl: 0.211 0.382 0.872
Cl: 0.712 0.139 0.700
Cl: 0.811 0.630 0.802
Cl: 0.173 0.888 0.553
Ag: 0.290 0.097 0.048
Ag: 0.710 0.903 0.952

Summary:
calculated volume	499.33	Å³/f.u.
energy relative to the elements, uncorrected	-0.098	eV per atom
space-group type	P-1 (2)
total energy	-2.08	eV per atom
N(E_F)	1.04	states/eV per atom